(a)
Pm2Sn8Ir | PBE-GGA | relaxed

Cell: 4.745 4.745 12.523 Å, 90.00 90.00 90.00°
Atoms (fractional coordinates):
Sn (0.000, 0.500, 0.122)
Sn (0.500, 0.000, 0.500)
Sn (0.500, 0.500, 0.306)
Sn (0.500, 0.000, 0.122)
Sn (0.500, 0.500, 0.694)
Sn (0.000, 0.500, 0.500)
Sn (0.000, 0.500, 0.878)
Sn (0.500, 0.000, 0.878)
Ir (0.000, 0.000, 0.000)
Pm (0.000, 0.000, 0.685)
Pm (0.000, 0.000, 0.315)

The value obtained for the total moment is 0.0 Bohr magnetons per cell. Its symmetry is No. 123. The density of states at the Fermi level is 4.104 states/eV per cell.



(b)
Pm2Sn8Ir | PBE-GGA | relaxed

Cell: 4.398 6.817 10.767 Å, 111.24 101.78 90.00°
Atoms (fractional coordinates):
Sn (0.631, 0.997, 0.263)
Sn (0.600, 0.393, 0.201)
Sn (0.208, 0.310, 0.417)
Sn (0.018, 0.763, 0.036)
Sn (0.792, 0.690, 0.583)
Sn (0.369, 0.003, 0.737)
Sn (0.982, 0.237, 0.964)
Sn (0.400, 0.607, 0.799)
Pm (0.183, 0.756, 0.365)
Pm (0.817, 0.244, 0.635)
Ir (0.500, 0.000, 0.000)

The value obtained for the total moment is 0.0 Bohr magnetons per cell. Its symmetry is No. 12. The density of states at the Fermi level is 5.067 states/eV per cell.



Energies relative to the most stable structure, in kJ/mol of atoms: (a) 0.0; (b) 3.1.